(1)
# AgPPdO2, relaxed, DFT PBE
data_AgPPdO2
_symmetry_space_group_name_H-M 'P 4/m m m'
_symmetry_Int_Tables_number 123
_symmetry_space_group_name_Hall '-P 4 2'
_cell_length_a 3.859
_cell_length_b 3.859
_cell_length_c 5.226
_cell_angle_alpha 90.00
_cell_angle_beta 90.00
_cell_angle_gamma 90.00
loop_
_atom_site_label
_atom_site_type_symbol
_atom_site_fract_x
_atom_site_fract_y
_atom_site_fract_z
_atom_site_occupancy
Ag1 Ag 0.000 0.000 0.000 1
P1 P 0.500 0.500 0.000 1
Pd1 Pd 0.500 0.500 0.500 1
O1 O 0.000 0.500 0.500 1
# - ρ (g cm⁻³) = 5.92
# - formation energy (no corrections) (eV/atom) = 0.3421
# - ΔE to the lowest computed polymorph (meV per atom) = 0
# - raw total energy (eV/atom) = -4.332

=====

(2)
# Pm2AgPO6, relaxed, DFT PBE
data_Pm2AgPO6
_symmetry_space_group_name_H-M 'P 4 m m'
_symmetry_Int_Tables_number 99
_cell_length_a 5.333
_cell_length_b 5.333
_cell_length_c 4.870
_cell_angle_alpha 90.00
_cell_angle_beta 90.00
_cell_angle_gamma 90.00
loop_
_symmetry_equiv_pos_as_xyz
'x,y,z'
'-y,x,z'
'-x,-y,z'
'y,-x,z'
'-x,y,z'
'y,x,z'
'x,-y,z'
'-y,-x,z'
loop_
_atom_site_label
_atom_site_type_symbol
_atom_site_fract_x
_atom_site_fract_y
_atom_site_fract_z
_atom_site_occupancy
Pm1 Pm 0.000 0.500 0.000 1
Ag1 Ag 0.000 0.000 0.498 1
P1 P 0.500 0.500 0.620 1
O1 O 0.000 0.000 0.065 1
O2 O 0.287 0.287 0.722 1
O3 O 0.500 0.500 0.294 1
# - ρ (g cm⁻³) = 6.29
# - formation energy (no corrections) (eV/atom) = -2.3106
# - raw total energy (eV/atom) = -7.062

=====

(3)
# PmAgPO4, relaxed, DFT PBE
data_PmAgPO4
_symmetry_space_group_name_H-M 'P 1 21/m 1'
_symmetry_Int_Tables_number 11
_cell_length_a 6.047
_cell_length_b 5.156
_cell_length_c 8.529
_cell_angle_alpha 90.00
_cell_angle_beta 104.08
_cell_angle_gamma 90.00
loop_
_symmetry_equiv_pos_as_xyz
'x,y,z'
'-x,-y,-z'
'-x,y+1/2,-z'
'x,-y+1/2,z'
loop_
_atom_site_label
_atom_site_type_symbol
_atom_site_fract_x
_atom_site_fract_y
_atom_site_fract_z
_atom_site_occupancy
Pm1 Pm 0.197 0.250 0.417 1
Ag1 Ag 0.083 0.750 0.023 1
P1 P 0.324 0.750 0.638 1
O1 O 0.169 0.512 0.646 1
O2 O 0.369 0.750 0.462 1
O3 O 0.443 0.250 0.242 1
# - ρ (g cm⁻³) = 4.48
# - formation energy (no corrections) (eV/atom) = -2.2269
# - raw total energy (eV/atom) = -6.919

=====

(4)
# PmAgP2O8, relaxed, DFT PBE
data_PmAgP2O8
_symmetry_space_group_name_H-M 'I -4 m 2'
_symmetry_Int_Tables_number 119
_symmetry_space_group_name_Hall 'I -4 -2'
_cell_length_a 7.137
_cell_length_b 7.137
_cell_length_c 6.231
_cell_angle_alpha 90.00
_cell_angle_beta 90.00
_cell_angle_gamma 90.00
loop_
_atom_site_label
_atom_site_type_symbol
_atom_site_fract_x
_atom_site_fract_y
_atom_site_fract_z
_atom_site_occupancy
Pm1 Pm 0.000 0.000 0.000 1
Ag1 Ag 0.000 0.500 0.750 1
P1 P 0.000 0.000 0.500 1
P2 P 0.000 0.500 0.250 1
O1 O 0.000 0.168 0.659 1
O2 O 0.000 0.328 0.098 1
# - ρ (g cm⁻³) = 4.63
# - formation energy (no corrections) (eV/atom) = -2.0035
# - raw total energy (eV/atom) = -6.844

=====

(5)
# PrAgP2O6, relaxed, DFT PBE
data_PrAgP2O6
_symmetry_space_group_name_H-M 'C 1 2/c 1'
_symmetry_Int_Tables_number 15
_cell_length_a 8.758
_cell_length_b 10.994
_cell_length_c 8.056
_cell_angle_alpha 90.00
_cell_angle_beta 118.85
_cell_angle_gamma 90.00
loop_
_symmetry_equiv_pos_as_xyz
'x,y,z'
'-x,-y,-z'
'-x,y,-z+1/2'
'x,-y,z+1/2'
'x+1/2,y+1/2,z'
'-x+1/2,-y+1/2,-z'
'-x+1/2,y+1/2,-z+1/2'
'x+1/2,-y+1/2,z+1/2'
loop_
_atom_site_label
_atom_site_type_symbol
_atom_site_fract_x
_atom_site_fract_y
_atom_site_fract_z
_atom_site_occupancy
Pr1 Pr 0.000 0.066 0.250 1
Ag1 Ag 0.000 0.328 0.750 1
P1 P 0.202 0.176 0.764 1
O1 O 0.108 0.093 0.589 1
O2 O 0.174 0.232 0.248 1
O3 O 0.233 0.409 0.064 1
# - ρ (g cm⁻³) = 3.98
# - formation energy (no corrections) (eV/atom) = -2.0823
# - raw total energy (eV/atom) = -6.902

=====

(6)
# PrAgP2O8, relaxed, DFT PBE
data_PrAgP2O8
_symmetry_space_group_name_H-M 'I -4 m 2'
_symmetry_Int_Tables_number 119
_symmetry_space_group_name_Hall 'I -4 -2'
_cell_length_a 7.209
_cell_length_b 7.209
_cell_length_c 6.285
_cell_angle_alpha 90.00
_cell_angle_beta 90.00
_cell_angle_gamma 90.00
loop_
_atom_site_label
_atom_site_type_symbol
_atom_site_fract_x
_atom_site_fract_y
_atom_site_fract_z
_atom_site_occupancy
Pr1 Pr 0.000 0.000 0.000 1
Ag1 Ag 0.000 0.500 0.750 1
P1 P 0.000 0.000 0.500 1
P2 P 0.000 0.500 0.250 1
O1 O 0.000 0.168 0.655 1
O2 O 0.000 0.330 0.099 1
# - ρ (g cm⁻³) = 4.46
# - formation energy (no corrections) (eV/atom) = -1.9890
# - raw total energy (eV/atom) = -6.832